Computed, not measured: CsP2RhCl after structural relaxation at the PBE level of DFT.

Calculated values
E_form (uncorrected) (eV/f.u.): -1.385
Electronic total energy (eV per atom): -4.45
Fermi-level density of states (states/eV/cell): 2.78
Total moment (μB/f.u.): 0.43

a b c (Å): 4.508 4.508 8.362
angles (deg): 90.00 90.00 90.00
Fractional positions:
1 Cl 0.000 0.000 0.500
2 Rh 0.000 0.000 0.000
3 P 0.000 0.500 0.000
4 P 0.500 0.000 0.000
5 Cs 0.500 0.500 0.500

---

Computed, not measured: CsP2RhCl after structural relaxation at the PBE level of DFT.

Calculated values
E_form (uncorrected) (eV/f.u.): 10.065
Electronic total energy (eV per atom): -2.16
Fermi-level density of states (states/eV/cell): 18.67
Total moment (μB/f.u.): 2.78

a b c (Å): 5.927 5.927 6.056
angles (deg): 90.00 90.00 90.00
Fractional positions:
1 Cs 0.000 0.000 0.000
2 P 0.000 0.500 0.000
3 P 0.500 0.000 0.000
4 Rh 0.500 0.500 0.500
5 Cl 0.000 0.000 0.500

---

Computed, not measured: CsPRuCl2 after structural relaxation at the PBE level of DFT.

Calculated values
E_form (uncorrected) (eV/f.u.): -2.606
Electronic total energy (eV per atom): -4.37
Fermi-level density of states (states/eV/cell): 4.82
Total moment (μB/f.u.): 0.00

a b c (Å): 5.298 5.298 4.474
angles (deg): 90.00 90.00 90.00
Fractional positions:
1 Cl 0.000 0.500 0.000
2 Cl 0.500 0.000 0.000
3 Cs 0.500 0.500 0.500
4 Ru 0.000 0.000 0.000
5 P 0.000 0.000 0.500

---

Computed, not measured: Cs5PS4Cl2 after structural relaxation at the PBE level of DFT.

Calculated values
E_form (uncorrected) (eV/f.u.): -15.485
Electronic total energy (eV per atom): -3.78
Fermi-level density of states (states/eV/cell): 0.00
Total moment (μB/f.u.): 0.00

a b c (Å): 8.325 7.134 10.193
angles (deg): 90.00 90.00 125.69
Fractional positions:
1 Cs 0.117 0.386 0.768
2 Cs 0.731 0.614 0.232
3 Cs 0.731 0.614 0.768
4 Cs 0.430 0.000 0.500
5 Cs 0.117 0.386 0.232
6 S 0.383 0.286 0.000
7 S 0.533 0.000 0.165
8 S 0.096 0.714 0.000
9 S 0.533 0.000 0.835
10 Cl 0.932 0.515 0.500
11 Cl 0.417 0.485 0.500
12 P 0.387 0.000 0.000

---

Computed, not measured: CsPS2Cl after structural relaxation at the PBE level of DFT.

Calculated values
E_form (uncorrected) (eV/f.u.): 8.142
Electronic total energy (eV per atom): -1.64
Fermi-level density of states (states/eV/cell): 9.92
Total moment (μB/f.u.): 1.11

a b c (Å): 5.423 5.423 6.824
angles (deg): 90.00 90.00 90.00
Fractional positions:
1 S 0.500 0.000 0.000
2 S 0.000 0.500 0.000
3 P 0.000 0.000 0.500
4 Cs 0.000 0.000 0.000
5 Cl 0.500 0.500 0.500

---

Computed, not measured: CsPS2Cl after structural relaxation at the PBE level of DFT.

Calculated values
E_form (uncorrected) (eV/f.u.): 3.216
Electronic total energy (eV per atom): -2.63
Fermi-level density of states (states/eV/cell): 4.87
Total moment (μB/f.u.): 2.66

a b c (Å): 5.338 5.338 4.887
angles (deg): 90.00 90.00 90.00
Fractional positions:
1 S 0.500 0.000 0.000
2 S 0.000 0.500 0.000
3 P 0.000 0.000 0.500
4 Cl 0.000 0.000 0.000
5 Cs 0.500 0.500 0.500

---

Computed, not measured: CsPS2Cl after structural relaxation at the PBE level of DFT.

Calculated values
E_form (uncorrected) (eV/f.u.): -1.955
Electronic total energy (eV per atom): -3.66
Fermi-level density of states (states/eV/cell): 1.32
Total moment (μB/f.u.): 0.00

a b c (Å): 4.640 4.640 5.695
angles (deg): 90.00 90.00 90.00
Fractional positions:
1 S 0.000 0.500 0.000
2 S 0.500 0.000 0.000
3 P 0.000 0.000 0.000
4 Cs 0.500 0.500 0.500
5 Cl 0.000 0.000 0.500

---

Computed, not measured: CsSbP2Cl after structural relaxation at the PBE level of DFT.

Calculated values
E_form (uncorrected) (eV/f.u.): 6.839
Electronic total energy (eV per atom): -2.16
Fermi-level density of states (states/eV/cell): 2.95
Total moment (μB/f.u.): 0.97

a b c (Å): 5.984 5.984 5.948
angles (deg): 90.00 90.00 90.00
Fractional positions:
1 Cs 0.000 0.000 0.000
2 Sb 0.500 0.500 0.500
3 P 0.000 0.500 0.000
4 P 0.500 0.000 0.000
5 Cl 0.000 0.000 0.500

---

Computed, not measured: CsSbPCl2 after structural relaxation at the PBE level of DFT.

Calculated values
E_form (uncorrected) (eV/f.u.): -2.886
Electronic total energy (eV per atom): -3.39
Fermi-level density of states (states/eV/cell): 3.93
Total moment (μB/f.u.): 0.71

a b c (Å): 5.642 5.642 5.213
angles (deg): 90.00 90.00 90.00
Fractional positions:
1 Cl 0.000 0.500 0.000
2 Cl 0.500 0.000 0.000
3 Cs 0.500 0.500 0.500
4 P 0.000 0.000 0.500
5 Sb 0.000 0.000 0.000

---

Computed, not measured: Cs2SbPCl6 after structural relaxation at the PBE level of DFT.

Calculated values
E_form (uncorrected) (eV/f.u.): -10.157
Electronic total energy (eV per atom): -3.25
Fermi-level density of states (states/eV/cell): 3.84
Total moment (μB/f.u.): 0.00

a b c (Å): 7.510 7.510 7.593
angles (deg): 60.36 60.36 90.00
Fractional positions:
1 P 0.500 0.500 0.000
2 Cs 0.750 0.250 0.500
3 Cs 0.250 0.750 0.500
4 Cl 0.747 0.747 0.506
5 Cl 0.260 0.740 0.000
6 Cl 0.740 0.260 0.000
7 Cl 0.740 0.740 0.000
8 Cl 0.253 0.253 0.494
9 Cl 0.260 0.260 0.000
10 Sb 0.000 0.000 0.000

---

Computed, not measured: CsSbPCl2 after structural relaxation at the PBE level of DFT.

Calculated values
E_form (uncorrected) (eV/f.u.): 3.372
Electronic total energy (eV per atom): -2.14
Fermi-level density of states (states/eV/cell): 5.76
Total moment (μB/f.u.): 0.13

a b c (Å): 5.860 5.860 5.870
angles (deg): 90.00 90.00 90.00
Fractional positions:
1 Cl 0.000 0.500 0.000
2 Cl 0.500 0.000 0.000
3 Cs 0.000 0.000 0.000
4 Sb 0.500 0.500 0.500
5 P 0.000 0.000 0.500

---

Computed, not measured: CsSbP2Cl after structural relaxation at the PBE level of DFT.

Calculated values
E_form (uncorrected) (eV/f.u.): 0.135
Electronic total energy (eV per atom): -3.50
Fermi-level density of states (states/eV/cell): 4.33
Total moment (μB/f.u.): 0.77

a b c (Å): 5.132 5.132 6.107
angles (deg): 90.00 90.00 90.00
Fractional positions:
1 P 0.000 0.500 0.000
2 P 0.500 0.000 0.000
3 Cs 0.500 0.500 0.500
4 Cl 0.000 0.000 0.500
5 Sb 0.000 0.000 0.000

---

Computed, not measured: Cs2ScPCl6 after structural relaxation at the PBE level of DFT.

Calculated values
E_form (uncorrected) (eV/f.u.): -14.943
Electronic total energy (eV per atom): -3.95
Fermi-level density of states (states/eV/cell): 0.00
Total moment (μB/f.u.): 0.00

a b c (Å): 7.082 7.082 8.073
angles (deg): 63.98 63.98 90.00
Fractional positions:
1 Cl 0.252 0.252 0.000
2 Cl 0.748 0.252 0.000
3 Cl 0.252 0.748 0.000
4 Cl 0.804 0.804 0.392
5 Cl 0.196 0.196 0.608
6 Cl 0.748 0.748 0.000
7 Cs 0.250 0.750 0.500
8 Cs 0.750 0.250 0.500
9 P 0.500 0.500 0.000
10 Sc 0.000 0.000 0.000

---

Computed, not measured: Cs2PSeCl5 after structural relaxation at the PBE level of DFT.

Calculated values
E_form (uncorrected) (eV/f.u.): -9.130
Electronic total energy (eV per atom): -3.22
Fermi-level density of states (states/eV/cell): 3.83
Total moment (μB/f.u.): 0.00

a b c (Å): 7.482 7.482 7.482
angles (deg): 90.39 119.77 119.77
Fractional positions:
1 Cl 0.574 0.793 0.793
2 Cl 0.000 0.793 0.220
3 Cl 0.000 0.220 0.793
4 Cl 0.426 0.220 0.220
5 Cl 0.000 0.204 0.204
6 P 0.000 0.987 0.987
7 Se 0.000 0.775 0.775
8 Cs 0.500 0.254 0.754
9 Cs 0.500 0.754 0.254

---

Computed, not measured: CsP2SeCl after structural relaxation at the PBE level of DFT.

Calculated values
E_form (uncorrected) (eV/f.u.): 7.421
Electronic total energy (eV per atom): -1.92
Fermi-level density of states (states/eV/cell): 2.44
Total moment (μB/f.u.): 6.03

a b c (Å): 6.129 6.129 6.493
angles (deg): 90.00 90.00 90.00
Fractional positions:
1 Cs 0.000 0.000 0.000
2 Se 0.500 0.500 0.500
3 P 0.000 0.500 0.000
4 P 0.500 0.000 0.000
5 Cl 0.000 0.000 0.500

---

Computed, not measured: CsP2SeCl after structural relaxation at the PBE level of DFT.

Calculated values
E_form (uncorrected) (eV/f.u.): 0.366
Electronic total energy (eV per atom): -3.33
Fermi-level density of states (states/eV/cell): 2.81
Total moment (μB/f.u.): 0.00

a b c (Å): 4.796 4.796 7.851
angles (deg): 90.00 90.00 90.00
Fractional positions:
1 P 0.000 0.500 0.000
2 P 0.500 0.000 0.000
3 Cs 0.500 0.500 0.500
4 Se 0.000 0.000 0.000
5 Cl 0.000 0.000 0.500

---

Computed, not measured: CsSnPCl2 after structural relaxation at the PBE level of DFT.

Calculated values
E_form (uncorrected) (eV/f.u.): -3.359
Electronic total energy (eV per atom): -3.46
Fermi-level density of states (states/eV/cell): 4.22
Total moment (μB/f.u.): 1.00

a b c (Å): 5.661 5.661 5.146
angles (deg): 90.00 90.00 90.00
Fractional positions:
1 P 0.000 0.000 0.500
2 Cl 0.000 0.500 0.000
3 Cl 0.500 0.000 0.000
4 Sn 0.000 0.000 0.000
5 Cs 0.500 0.500 0.500

---

Computed, not measured: CsSrP2Cl after structural relaxation at the PBE level of DFT.

Calculated values
E_form (uncorrected) (eV/f.u.): 1.879
Electronic total energy (eV per atom): -2.66
Fermi-level density of states (states/eV/cell): 5.17
Total moment (μB/f.u.): 0.96

a b c (Å): 5.455 5.455 6.062
angles (deg): 90.00 90.00 90.00
Fractional positions:
1 Cs 0.000 0.000 0.000
2 Sr 0.500 0.500 0.500
3 P 0.000 0.500 0.000
4 P 0.500 0.000 0.000
5 Cl 0.000 0.000 0.500

---

Computed, not measured: CsSrPCl2 after structural relaxation at the PBE level of DFT.

Calculated values
E_form (uncorrected) (eV/f.u.): -6.289
Electronic total energy (eV per atom): -3.59
Fermi-level density of states (states/eV/cell): 1.12
Total moment (μB/f.u.): 2.00

a b c (Å): 5.756 5.756 6.173
angles (deg): 90.00 90.00 90.00
Fractional positions:
1 P 0.000 0.000 0.500
2 Cl 0.000 0.500 0.000
3 Cl 0.500 0.000 0.000
4 Sr 0.000 0.000 0.000
5 Cs 0.500 0.500 0.500

---

Computed, not measured: CsSrP2Cl after structural relaxation at the PBE level of DFT.

Calculated values
E_form (uncorrected) (eV/f.u.): -1.386
Electronic total energy (eV per atom): -3.32
Fermi-level density of states (states/eV/cell): 3.92
Total moment (μB/f.u.): 4.00

a b c (Å): 6.069 6.069 5.720
angles (deg): 90.00 90.00 90.00
Fractional positions:
1 Cl 0.000 0.000 0.500
2 Sr 0.000 0.000 0.000
3 Cs 0.500 0.500 0.500
4 P 0.000 0.500 0.000
5 P 0.500 0.000 0.000

---

Computed, not measured: Cs2TaPCl6 after structural relaxation at the PBE level of DFT.

Calculated values
E_form (uncorrected) (eV/f.u.): -11.048
Electronic total energy (eV per atom): -4.11
Fermi-level density of states (states/eV/cell): 13.90
Total moment (μB/f.u.): 4.00

a b c (Å): 8.033 8.033 8.033
angles (deg): 60.00 60.00 90.00
Fractional positions:
1 Cl 0.786 0.786 0.427
2 Cl 0.786 0.214 0.000
3 Cl 0.214 0.786 0.000
4 Cl 0.214 0.214 0.000
5 Cl 0.786 0.786 0.000
6 Cl 0.214 0.214 0.573
7 Cs 0.750 0.250 0.500
8 Cs 0.250 0.750 0.500
9 Ta 0.000 0.000 0.000
10 P 0.500 0.500 0.000

---

Computed, not measured: CsTcPCl2 after structural relaxation at the PBE level of DFT.

Calculated values
E_form (uncorrected) (eV/f.u.): 6.581
Electronic total energy (eV per atom): -2.75
Fermi-level density of states (states/eV/cell): 9.30
Total moment (μB/f.u.): 5.43

a b c (Å): 5.907 5.907 5.682
angles (deg): 90.00 90.00 90.00
Fractional positions:
1 P 0.000 0.000 0.500
2 Cs 0.000 0.000 0.000
3 Cl 0.500 0.000 0.000
4 Cl 0.000 0.500 0.000
5 Tc 0.500 0.500 0.500

---

Computed, not measured: CsTcPCl2 after structural relaxation at the PBE level of DFT.

Calculated values
E_form (uncorrected) (eV/f.u.): -2.622
Electronic total energy (eV per atom): -4.59
Fermi-level density of states (states/eV/cell): 2.06
Total moment (μB/f.u.): 1.87

a b c (Å): 5.321 5.321 4.582
angles (deg): 90.00 90.00 90.00
Fractional positions:
1 Cs 0.500 0.500 0.500
2 Cl 0.500 0.000 0.000
3 Cl 0.000 0.500 0.000
4 P 0.000 0.000 0.500
5 Tc 0.000 0.000 0.000

---

Computed, not measured: CsTcP2Cl after structural relaxation at the PBE level of DFT.

Calculated values
E_form (uncorrected) (eV/f.u.): 12.466
Electronic total energy (eV per atom): -2.28
Fermi-level density of states (states/eV/cell): 18.94
Total moment (μB/f.u.): 0.00

a b c (Å): 5.425 5.425 5.690
angles (deg): 90.00 90.00 90.00
Fractional positions:
1 Cs 0.000 0.000 0.000
2 Tc 0.500 0.500 0.500
3 P 0.000 0.500 0.000
4 P 0.500 0.000 0.000
5 Cl 0.000 0.000 0.500

---

Computed, not measured: CsTcP2Cl after structural relaxation at the PBE level of DFT.

Calculated values
E_form (uncorrected) (eV/f.u.): -1.282
Electronic total energy (eV per atom): -5.03
Fermi-level density of states (states/eV/cell): 3.82
Total moment (μB/f.u.): 0.00

a b c (Å): 4.621 4.621 5.805
angles (deg): 90.00 90.00 90.00
Fractional positions:
1 Tc 0.000 0.000 0.000
2 P 0.500 0.000 0.000
3 P 0.000 0.500 0.000
4 Cl 0.000 0.000 0.500
5 Cs 0.500 0.500 0.500

---

Computed, not measured: CsTePCl2 after structural relaxation at the PBE level of DFT.

Calculated values
E_form (uncorrected) (eV/f.u.): 3.639
Electronic total energy (eV per atom): -1.89
Fermi-level density of states (states/eV/cell): 3.96
Total moment (μB/f.u.): 1.59

a b c (Å): 5.751 5.751 6.189
angles (deg): 90.00 90.00 90.00
Fractional positions:
1 P 0.000 0.000 0.500
2 Cl 0.000 0.500 0.000
3 Cl 0.500 0.000 0.000
4 Te 0.500 0.500 0.500
5 Cs 0.000 0.000 0.000

---

Computed, not measured: CsTePCl2 after structural relaxation at the PBE level of DFT.

Calculated values
E_form (uncorrected) (eV/f.u.): -2.418
Electronic total energy (eV per atom): -3.10
Fermi-level density of states (states/eV/cell): 1.67
Total moment (μB/f.u.): 0.00

a b c (Å): 5.870 5.870 4.905
angles (deg): 90.00 90.00 90.00
Fractional positions:
1 P 0.000 0.000 0.500
2 Cs 0.500 0.500 0.500
3 Te 0.000 0.000 0.000
4 Cl 0.500 0.000 0.000
5 Cl 0.000 0.500 0.000